(1)
4
Lattice="3.4797 0.0000 0.0000 0.0000 3.4797 0.0000 0.0000 0.0000 9.1189" Properties=species:S:1:pos:R:3 comment="PBE TbPaPb2, relaxed" e_tot_ev_per_atom=-5.532 polymorph_energy_kj_per_mol_atoms=0.0 space_group="No. 123" ef_kj_per_mol_atoms=-14.16 pbc="T T T"
Pb 0.0000 0.0000 6.8568
Pb 0.0000 0.0000 2.2622
Pa 1.7399 1.7399 4.5595
Tb 1.7399 1.7399 0.0000

(2)
10
Lattice="3.9736 0.0000 0.0000 0.0000 3.9736 0.0000 0.0000 0.0000 20.2733" Properties=species:S:1:pos:R:3 comment="PBE Ac5Ag4Pb, relaxed" e_tot_ev_per_atom=-3.862 space_group="No. 123" ef_kj_per_mol_atoms=-28.58 pbc="T T T"
Ac 1.9868 1.9868 2.2269
Ac 1.9868 1.9868 6.1929
Ac 1.9868 1.9868 10.1367
Ac 1.9868 1.9868 14.0805
Ac 1.9868 1.9868 18.0464
Ag 0.0000 0.0000 4.2538
Ag 0.0000 0.0000 8.1577
Ag 0.0000 0.0000 12.1156
Ag 0.0000 0.0000 16.0195
Pb 0.0000 0.0000 0.0000

(3)
4
Lattice="-0.2436 -3.6936 3.7192 -1.8001 -3.7826 -3.8745 5.4083 -1.4558 -1.0915" Properties=species:S:1:pos:R:3 comment="PBE Rb2NaTe, relaxed" e_tot_ev_per_atom=-2.124 formation_energy_uncorrected_mev_per_atom=-525 space_group="No. 123" pbc="T T T"
Na -0.1218 -1.8468 1.8596
Te 1.6823 -4.4660 -0.6234
Rb 2.7041 -0.7279 -0.5458
Rb -0.9001 -1.8913 -1.9372

(4)
4
Lattice="3.9290 0.0000 0.0000 0.0000 3.9336 0.0000 0.0000 0.0000 6.3511" Properties=species:S:1:pos:R:3 comment="PBE ZnPbCl2, relaxed" e_tot_ev_per_atom=-2.647 polymorph_energy_kj_per_mol_atoms=18.5 formation_energy_uncorrected_mev_per_atom=-478 space_group="No. 99" pbc="T T T"
Pb 0.0000 0.0000 3.1326
Zn 1.9645 1.9668 5.2815
Cl 0.0000 0.0000 5.9692
Cl 1.9645 1.9668 1.4943

(5)
4
Lattice="3.5438 0.0000 0.0000 0.0000 3.5438 0.0000 0.0000 0.0000 8.4962" Properties=species:S:1:pos:R:3 comment="PBE Tb2CePt, relaxed" e_tot_ev_per_atom=-5.851 polymorph_energy_kj_per_mol_atoms=0.0 space_group="No. 123" ef_kj_per_mol_atoms=-52.28 pbc="T T T"
Tb 0.0000 0.0000 6.8315
Tb 0.0000 0.0000 1.6647
Ce 1.7719 1.7719 4.2481
Pt 1.7719 1.7719 0.0000

(6)
10
Lattice="7.2521 0.0053 -0.0064 3.6306 6.2888 -0.0065 3.6214 2.0948 6.4164" Properties=species:S:1:pos:R:3 comment="PBE Na2CuSnBr6, relaxed" e_tot_ev_per_atom=-2.989 formation_energy_uncorrected_mev_per_atom=-912 space_group="No. 1" pbc="T T T"
Na 7.2527 4.1944 2.7493
Na 3.6237 2.0948 5.9866
Cu 3.6277 2.0969 0.2012
Sn 10.8786 6.2919 3.3933
Br 5.8153 1.8032 1.6183
Br 5.9004 6.6337 1.6214
Br 10.0412 4.1494 1.6146
Br 8.5456 5.8880 4.9727
Br 8.0648 2.2295 4.9795
Br 5.1428 4.4646 4.9829